Entry 1:
Crystalline YMnP2O at its relaxed geometry, computed with GGA+U.

## Properties
The density of states at the Fermi level is 3.5 states/eV per cell. Its space group is P4/mmm, No. 123. Its energy is -0.2207 hartree per atom. For the total magnetic moment, the calculation gives 0.62 μB per atom.

a b c (Å): 5.3975 5.3975 4.1955
angles (deg): 90.00 90.00 90.00
Fractional positions:
Y1 0.0000 0.0000 0.0000
Mn1 0.5000 0.5000 0.5000
P1 0.0000 0.5000 0.0000
P2 0.5000 0.0000 0.0000
O1 0.0000 0.0000 0.5000

Entry 2:
Crystalline MnZnP2O at its relaxed geometry, computed with GGA+U.

## Properties
The density of states at the Fermi level is 2.2 states/eV per cell. Its space group is P4/mmm, No. 123. Its energy is -0.1623 hartree per atom. For the total magnetic moment, the calculation gives 0.00 μB per atom.

a b c (Å): 4.6679 4.6679 3.4021
angles (deg): 90.00 90.00 90.00
Fractional positions:
Mn1 0.0000 0.0000 0.0000
Zn1 0.5000 0.5000 0.5000
P1 0.0000 0.5000 0.0000
P2 0.5000 0.0000 0.0000
O1 0.0000 0.0000 0.5000

Entry 3:
Crystalline Mn3Zn9P8O32 at its relaxed geometry, computed with GGA+U.

## Properties
The density of states at the Fermi level is 0.0 states/eV per cell. Its space group is P-1, No. 2. Its energy is -0.2395 hartree per atom. For the total magnetic moment, the calculation gives 0.29 μB per atom.

a b c (Å): 5.1001 11.6289 11.6454
angles (deg): 96.53 93.25 93.55
Fractional positions:
Mn1 0.0000 0.0000 0.0000
Mn2 0.0000 0.5000 0.5000
Mn3 0.5000 0.0000 0.5000
Zn1 0.0770 0.8764 0.2418
Zn2 0.0811 0.3791 0.7413
Zn3 0.4229 0.7574 0.6239
Zn4 0.4336 0.2583 0.1199
Zn5 0.5000 0.5000 0.0000
Zn6 0.5664 0.7417 0.8801
Zn7 0.5771 0.2426 0.3761
Zn8 0.9189 0.6209 0.2587
Zn9 0.9230 0.1236 0.7582
P1 0.0235 0.6940 0.0054
P2 0.0333 0.1982 0.5037
P3 0.4645 0.4952 0.2993
P4 0.4659 0.9962 0.8024
P5 0.5341 0.0038 0.1976
P6 0.5355 0.5048 0.7007
P7 0.9667 0.8018 0.4963
P8 0.9765 0.3060 0.9946
O1 0.0415 0.7206 0.1405
O2 0.0439 0.2227 0.6390
O3 0.0689 0.6936 0.5500
O4 0.0767 0.1975 0.0484
O5 0.1635 0.9046 0.5401
O6 0.1774 0.4083 0.0359
O7 0.1843 0.5293 0.3279
O8 0.1848 0.0312 0.8289
O9 0.3017 0.6658 0.9675
O10 0.3147 0.1721 0.4689
O11 0.3359 0.4607 0.5991
O12 0.3367 0.9594 0.0955
O13 0.4312 0.9506 0.3060
O14 0.4353 0.4507 0.8091
O15 0.4533 0.8605 0.7789
O16 0.4543 0.3596 0.2755
O17 0.5457 0.6404 0.7245
O18 0.5467 0.1395 0.2211
O19 0.5647 0.5493 0.1909
O20 0.5688 0.0494 0.6940
O21 0.6633 0.0406 0.9045
O22 0.6641 0.5393 0.4009
O23 0.6853 0.8279 0.5311
O24 0.6983 0.3342 0.0325
O25 0.8152 0.9688 0.1711
O26 0.8157 0.4707 0.6721
O27 0.8226 0.5917 0.9641
O28 0.8365 0.0954 0.4599
O29 0.9233 0.8025 0.9516
O30 0.9311 0.3064 0.4500
O31 0.9561 0.7773 0.3610
O32 0.9585 0.2794 0.8595

Entry 4:
Crystalline MnZnP2O at its relaxed geometry, computed with GGA+U.

## Properties
The density of states at the Fermi level is 3.7 states/eV per cell. Its space group is P4/mmm, No. 123. Its energy is -0.1631 hartree per atom. For the total magnetic moment, the calculation gives 0.81 μB per atom.

a b c (Å): 4.9239 4.9239 3.5705
angles (deg): 90.00 90.00 90.00
Fractional positions:
Mn1 0.0000 0.0000 0.0000
Zn1 0.5000 0.5000 0.5000
P1 0.0000 0.5000 0.5000
P2 0.5000 0.0000 0.5000
O1 0.5000 0.5000 0.0000

Entry 5:
Crystalline MnZn2PO at its relaxed geometry, computed with GGA+U.

## Properties
The density of states at the Fermi level is 1.5 states/eV per cell. Its space group is P4/mmm, No. 123. Its energy is -0.1466 hartree per atom. For the total magnetic moment, the calculation gives 0.82 μB per atom.

a b c (Å): 3.8988 3.8988 5.5591
angles (deg): 90.00 90.00 90.00
Fractional positions:
Mn1 0.0000 0.0000 0.0000
Zn1 0.0000 0.5000 0.5000
Zn2 0.5000 0.0000 0.5000
P1 0.5000 0.5000 0.0000
O1 0.5000 0.5000 0.5000

Entry 6:
Crystalline MnZnPO2 at its relaxed geometry, computed with GGA+U.

## Properties
The density of states at the Fermi level is 3.7 states/eV per cell. Its space group is P4/mmm, No. 123. Its energy is -0.1893 hartree per atom. For the total magnetic moment, the calculation gives 0.44 μB per atom.

a b c (Å): 3.6701 3.6701 5.2130
angles (deg): 90.00 90.00 90.00
Fractional positions:
Mn1 0.0000 0.0000 0.0000
Zn1 0.5000 0.5000 0.5000
P1 0.0000 0.0000 0.5000
O1 0.0000 0.5000 0.0000
O2 0.5000 0.0000 0.0000

Entry 7:
Crystalline MnZnPO2 at its relaxed geometry, computed with GGA+U.

## Properties
The density of states at the Fermi level is 3.1 states/eV per cell. Its space group is P4/mmm, No. 123. Its energy is -0.1758 hartree per atom. For the total magnetic moment, the calculation gives 0.85 μB per atom.

a b c (Å): 3.7962 3.7962 4.9971
angles (deg): 90.00 90.00 90.00
Fractional positions:
Mn1 0.0000 0.0000 0.0000
Zn1 0.5000 0.5000 0.5000
P1 0.5000 0.5000 0.0000
O1 0.0000 0.5000 0.5000
O2 0.5000 0.0000 0.5000

Entry 8:
Crystalline Mn2ZnP2O10 at its relaxed geometry, computed with GGA+U.

## Properties
The density of states at the Fermi level is 11.1 states/eV per cell. Its space group is Fddd, No. 70. Its energy is -0.2473 hartree per atom. For the total magnetic moment, the calculation gives 0.40 μB per atom.

a b c (Å): 10.0308 9.1021 6.5739
angles (deg): 77.72 62.46 39.82
Fractional positions:
Mn1 0.0000 0.0000 0.0000
Mn2 0.0000 0.0000 0.5000
Mn3 0.0000 0.5000 0.0000
Mn4 0.5000 0.0000 0.0000
Zn1 0.3750 0.3750 0.3750
Zn2 0.6250 0.6250 0.6250
P1 0.1676 0.1676 0.5824
P2 0.4176 0.4176 0.8324
P3 0.5824 0.5824 0.1676
P4 0.8324 0.8324 0.4176
O1 0.0353 0.7389 0.4400
O2 0.0458 0.0458 0.2042
O3 0.0651 0.3817 0.7102
O4 0.2042 0.2042 0.0458
O5 0.2611 0.9647 0.7142
O6 0.2858 0.4400 0.7389
O7 0.2898 0.6570 0.9349
O8 0.3430 0.7102 0.3817
O9 0.3817 0.0651 0.3430
O10 0.4400 0.2858 0.0353
O11 0.5600 0.7142 0.9647
O12 0.6183 0.9349 0.6570
O13 0.6570 0.2898 0.6183
O14 0.7102 0.3430 0.0651
O15 0.7142 0.5600 0.2611
O16 0.7389 0.0353 0.2858
O17 0.7958 0.7958 0.9542
O18 0.9349 0.6183 0.2898
O19 0.9542 0.9542 0.7958
O20 0.9647 0.2611 0.5600

Entry 9:
Crystalline PaMnO6 at its relaxed geometry, computed with GGA+U.

## Properties
The density of states at the Fermi level is 5.5 states/eV per cell. Its space group is C2/m, No. 12. Its energy is -0.2764 hartree per atom. For the total magnetic moment, the calculation gives 0.25 μB per atom.

a b c (Å): 5.4810 5.4810 6.3079
angles (deg): 124.66 124.66 45.17
Fractional positions:
Pa1 0.0000 0.0000 0.0000
Mn1 0.5000 0.5000 0.5000
O1 0.0658 0.0658 0.4968
O2 0.2461 0.2461 0.2417
O3 0.4929 0.4929 0.1914
O4 0.5071 0.5071 0.8086
O5 0.7539 0.7539 0.7583
O6 0.9342 0.9342 0.5032

Entry 10:
Crystalline Pa4Mn3O12 at its relaxed geometry, computed with GGA+U.

## Properties
The density of states at the Fermi level is 11.7 states/eV per cell. Its space group is Im-3, No. 204. Its energy is -0.3386 hartree per atom. For the total magnetic moment, the calculation gives 0.68 μB per atom.

a b c (Å): 7.2234 7.2234 7.2234
angles (deg): 109.47 109.47 109.47
Fractional positions:
Pa1 0.0000 0.0000 0.5000
Pa2 0.0000 0.5000 0.0000
Pa3 0.5000 0.0000 0.0000
Pa4 0.5000 0.5000 0.5000
Mn1 0.0000 0.5000 0.5000
Mn2 0.5000 0.0000 0.5000
Mn3 0.5000 0.5000 0.0000
O1 0.1364 0.3184 0.8180
O2 0.1820 0.5004 0.3184
O3 0.1820 0.8636 0.6816
O4 0.3184 0.1820 0.5004
O5 0.3184 0.8180 0.1364
O6 0.5004 0.3184 0.1820
O7 0.4996 0.6816 0.8180
O8 0.6816 0.1820 0.8636
O9 0.6816 0.8180 0.4996
O10 0.8180 0.1364 0.3184
O11 0.8180 0.4996 0.6816
O12 0.8636 0.6816 0.1820

Entry 11:
Crystalline PaMnO5 at its relaxed geometry, computed with GGA+U.

## Properties
The density of states at the Fermi level is 10.9 states/eV per cell. Its space group is C2/c, No. 15. Its energy is -0.3000 hartree per atom. For the total magnetic moment, the calculation gives 0.31 μB per atom.

a b c (Å): 5.3932 5.3932 7.4329
angles (deg): 110.14 110.14 72.52
Fractional positions:
Pa1 0.0476 0.9524 0.7500
Pa2 0.9524 0.0476 0.2500
Mn1 0.5000 0.5000 0.0000
Mn2 0.5000 0.5000 0.5000
O1 0.1921 0.7838 0.0323
O2 0.2162 0.8079 0.4677
O3 0.2305 0.2878 0.3762
O4 0.2878 0.2305 0.8762
O5 0.4194 0.5806 0.7500
O6 0.5806 0.4194 0.2500
O7 0.7122 0.7695 0.1238
O8 0.7695 0.7122 0.6238
O9 0.7838 0.1921 0.5323
O10 0.8079 0.2162 0.9677

Entry 12:
Crystalline Pa2MnO8 at its relaxed geometry, computed with GGA+U.

## Properties
The density of states at the Fermi level is 4.8 states/eV per cell. Its space group is C2/m, No. 12. Its energy is -0.3016 hartree per atom. For the total magnetic moment, the calculation gives 0.09 μB per atom.

a b c (Å): 5.9935 5.9935 4.6277
angles (deg): 102.86 102.86 111.81
Fractional positions:
Pa1 0.1874 0.8126 0.0000
Pa2 0.8126 0.1874 0.0000
Mn1 0.5000 0.5000 0.5000
O1 0.1177 0.4159 0.8379
O2 0.1842 0.1842 0.2598
O3 0.3058 0.6942 0.5000
O4 0.4159 0.1177 0.8379
O5 0.5841 0.8823 0.1621
O6 0.6942 0.3058 0.5000
O7 0.8158 0.8158 0.7402
O8 0.8823 0.5841 0.1621